(1)
18
Lattice="-6.050 3.496 -2.786 -1.428 -1.191 -7.289 -5.924 -4.378 -1.524" Properties=species:S:1:pos:R:3 comment="Pr2B3Pt12Au | the Alexandria database | GGA-PBE | relaxed" m_tot_mub_per_fu=0.00 spacegroup="R-3m (166)" total_energy_ha_per_atom=-0.227 density_g_cm3=14.5 e_form_ev_per_atom=-0.314 pbc="T T T"
Pr -5.317 -0.823 -4.602
B -0.714 -0.596 -3.645
Pt -4.527 -2.347 -2.204
Pt -11.015 -1.242 -6.654
Pt -2.388 -0.831 -4.946
Pr -8.085 -1.251 -6.998
Pt -5.575 1.175 -6.945
B -3.025 1.748 -1.393
Pt -8.875 0.274 -9.396
Pt -5.181 -1.373 -8.047
Pt -8.816 -3.472 -8.796
Au 0.000 0.000 0.000
Pt -7.901 1.385 -5.397
Pt -5.501 -3.459 -6.203
Pt -7.827 -3.248 -4.654
B -2.962 -2.189 -0.762
Pt -4.587 1.399 -2.804
Pt -8.221 -0.701 -3.553

***

(2)
15
Lattice="-5.662 -1.533 -0.099 3.878 -2.882 -3.329 1.442 -5.754 6.662" Properties=species:S:1:pos:R:3 comment="Pr3B2Rh9Au | the Alexandria database | GGA-PBE | relaxed" m_tot_mub_per_fu=0.00 spacegroup="P-3m1 (164)" total_energy_ha_per_atom=-0.254 density_g_cm3=9.8 e_form_ev_per_atom=-0.433 pbc="T T T"
Pr 1.625 -6.131 2.030
Au 0.721 -2.877 3.331
Pr -1.967 -4.038 1.205
Pr 0.000 0.000 0.000
Rh 2.700 -4.205 -1.011
Rh 1.939 -1.441 -1.664
B -1.248 -6.909 4.528
Rh -2.831 -0.767 -0.049
Rh -0.167 -5.186 4.295
Rh 0.731 -2.742 0.680
Rh -0.176 -4.984 -1.061
B 0.905 -3.261 -1.293
Rh -0.892 -2.208 -1.714
Rh -1.073 -7.428 2.555
Rh -3.042 -5.964 4.245

***

(3)
9
Lattice="3.552 0.000 0.000 0.000 7.718 0.000 0.000 -3.859 6.684" Properties=species:S:1:pos:R:3 comment="Pr3BRh3Au2 | the Alexandria database | GGA-PBE | relaxed" m_tot_mub_per_fu=0.00 spacegroup="P-62m (189)" total_energy_ha_per_atom=-0.224 density_g_cm3=10.3 e_form_ev_per_atom=-0.589 pbc="T T T"
Pr 0.000 2.805 0.000
Rh 1.776 -3.067 5.313
Pr 0.000 2.457 4.255
Au 1.776 0.000 4.456
B 0.000 0.000 0.000
Rh 1.776 0.792 1.371
Pr 0.000 -1.403 2.430
Rh 1.776 6.135 0.000
Au 1.776 3.859 2.228